[1]
The following is a PBE-GGA calculation of a relaxed CdSbS2 crystal, from Alexandria.

Output
Formation energy (no corrections) = 0.056 eV/atom
Total magnetization = 0.0 μB/f.u.
Energy above the most stable polymorph in this dataset = 0.266 eV/atom

Structure (POSCAR):
```
CdSbS2
1.0
6.879 0.000 0.000
0.000 6.879 0.000
0.000 0.000 6.879
Cd Sb S
4 4 8
Direct
0.000 0.000 0.000
0.000 0.500 0.500
0.500 0.000 0.500
0.500 0.500 0.000
0.000 0.000 0.500
0.000 0.500 0.000
0.500 0.000 0.000
0.500 0.500 0.500
0.250 0.250 0.250
0.250 0.250 0.750
0.250 0.750 0.250
0.250 0.750 0.750
0.750 0.250 0.250
0.750 0.250 0.750
0.750 0.750 0.250
0.750 0.750 0.750
```

***

[2]
The following is a PBE-GGA calculation of a relaxed Cd2SbS crystal, from Alexandria.

Output
Formation energy (no corrections) = 0.155 eV/atom
Total magnetization = 0.2 μB/f.u.

Structure (POSCAR):
```
Cd2SbS
1.0
4.211 0.000 0.000
-2.106 3.647 0.000
0.000 0.000 24.458
Cd Sb S
6 3 3
Direct
0.000 0.000 0.097
0.000 0.000 0.903
0.333 0.667 0.569
0.333 0.667 0.764
0.667 0.333 0.236
0.667 0.333 0.431
0.000 0.000 0.500
0.333 0.667 0.167
0.667 0.333 0.833
0.000 0.000 0.000
0.333 0.667 0.667
0.667 0.333 0.333
```

***

[3]
The following is a PBE-GGA calculation of a relaxed CdSb2S2 crystal, from Alexandria.

Output
Formation energy (no corrections) = -0.008 eV/atom
Total magnetization = 0.0 μB/f.u.

Structure (POSCAR):
```
CdSb2S2
1.0
8.607 0.000 0.000
0.000 8.607 0.000
0.000 0.000 3.695
Cd Sb S
2 4 4
Direct
0.000 0.000 0.000
0.500 0.500 0.000
0.219 0.281 0.000
0.281 0.781 0.000
0.719 0.219 0.000
0.781 0.719 0.000
0.140 0.640 0.500
0.360 0.140 0.500
0.640 0.860 0.500
0.860 0.360 0.500
```

***

[4]
The following is a PBE-GGA calculation of a relaxed CdSb2S crystal, from Alexandria.

Output
Formation energy (no corrections) = 0.288 eV/atom
Total magnetization = 0.0 μB/f.u.
Energy above the most stable polymorph in this dataset = 0.133 eV/atom

Structure (POSCAR):
```
CdSb2S
1.0
7.219 0.000 0.000
0.000 7.219 0.000
0.000 0.000 7.219
Cd Sb S
4 8 4
Direct
0.000 0.000 0.000
0.000 0.500 0.500
0.500 0.000 0.500
0.500 0.500 0.000
0.250 0.250 0.250
0.250 0.250 0.750
0.250 0.750 0.250
0.250 0.750 0.750
0.750 0.250 0.250
0.750 0.250 0.750
0.750 0.750 0.250
0.750 0.750 0.750
0.000 0.000 0.500
0.000 0.500 0.000
0.500 0.000 0.000
0.500 0.500 0.500
```

***

[5]
The following is a PBE-GGA calculation of a relaxed CdSbS crystal, from Alexandria.

Output
Formation energy (no corrections) = -0.133 eV/atom
Total magnetization = 0.0 μB/f.u.

Structure (POSCAR):
```
CdSbS
1.0
10.834 0.000 0.000
0.000 3.620 0.000
0.000 0.000 8.055
Cd Sb S
4 4 4
Direct
0.171 0.000 0.000
0.171 0.500 0.500
0.829 0.000 0.000
0.829 0.500 0.500
0.000 0.000 0.299
0.000 0.500 0.799
0.500 0.000 0.405
0.500 0.500 0.905
0.327 0.000 0.605
0.327 0.500 0.105
0.673 0.000 0.605
0.673 0.500 0.105
```

***

[6]
The following is a PBE-GGA calculation of a relaxed CdSb2S5 crystal, from Alexandria.

Output
Formation energy (no corrections) = -0.145 eV/atom
Total magnetization = 0.0 μB/f.u.

Structure (POSCAR):
```
CdSb2S5
1.0
2.606 -6.241 0.000
2.606 6.241 0.000
0.000 0.000 13.057
Cd Sb S
2 4 10
Direct
0.234 0.766 0.750
0.766 0.234 0.250
0.136 0.864 0.055
0.136 0.864 0.445
0.864 0.136 0.555
0.864 0.136 0.945
0.055 0.945 0.620
0.055 0.945 0.880
0.210 0.790 0.250
0.326 0.674 0.564
0.326 0.674 0.936
0.674 0.326 0.064
0.674 0.326 0.436
0.790 0.210 0.750
0.945 0.055 0.120
0.945 0.055 0.380
```

***

[7]
The following is a PBE-GGA calculation of a relaxed CdSbS3 crystal, from Alexandria.

Output
Formation energy (no corrections) = -0.258 eV/atom
Total magnetization = 0.0 μB/f.u.
Energy above the most stable polymorph in this dataset = 0.000 eV/atom

Structure (POSCAR):
```
CdSbS3
1.0
6.741 0.000 0.000
0.000 3.837 0.000
-0.269 0.000 9.332
Cd Sb S
2 2 6
Direct
0.089 0.250 0.205
0.911 0.750 0.795
0.397 0.250 0.821
0.603 0.750 0.179
0.093 0.250 0.668
0.242 0.750 0.003
0.446 0.250 0.325
0.554 0.750 0.675
0.758 0.250 0.997
0.907 0.750 0.332
```

***

[8]
The following is a PBE-GGA calculation of a relaxed CdSb2S6 crystal, from Alexandria.

Output
Formation energy (no corrections) = -0.001 eV/atom
Total magnetization = 0.0 μB/f.u.

Structure (POSCAR):
```
CdSb2S6
1.0
6.536 0.000 0.000
0.000 5.935 0.000
-6.489 0.000 10.942
Cd Sb S
2 4 12
Direct
0.000 0.000 0.000
0.000 0.500 0.500
0.336 0.002 0.826
0.336 0.498 0.326
0.664 0.502 0.674
0.664 0.998 0.174
0.060 0.658 0.710
0.060 0.842 0.210
0.349 0.194 0.649
0.349 0.306 0.149
0.352 0.738 0.503
0.352 0.762 0.003
0.648 0.238 0.997
0.648 0.262 0.497
0.651 0.694 0.851
0.651 0.806 0.351
0.940 0.158 0.790
0.940 0.342 0.290
```

***

[9]
The following is a PBE-GGA calculation of a relaxed CdSb2S4 crystal, from Alexandria.

Output
Formation energy (no corrections) = -0.348 eV/atom
Total magnetization = 0.0 μB/f.u.
Energy above the most stable polymorph in this dataset = 0.000 eV/atom

Structure (POSCAR):
```
CdSb2S4
1.0
8.767 -1.954 0.000
8.767 1.954 0.000
-6.661 0.000 11.387
Cd Sb S
2 4 8
Direct
0.250 0.250 0.250
0.750 0.750 0.750
0.131 0.131 0.881
0.369 0.369 0.619
0.631 0.631 0.381
0.869 0.869 0.119
0.088 0.088 0.230
0.215 0.215 0.586
0.285 0.285 0.914
0.411 0.411 0.270
0.589 0.589 0.730
0.715 0.715 0.086
0.785 0.785 0.414
0.912 0.912 0.770
```

***

[10]
The following is a PBE-GGA calculation of a relaxed CdSbS2 crystal, from Alexandria.

Output
Formation energy (no corrections) = -0.101 eV/atom
Total magnetization = 0.0 μB/f.u.
Energy above the most stable polymorph in this dataset = 0.110 eV/atom

Structure (POSCAR):
```
CdSbS2
1.0
5.563 0.000 0.000
0.000 5.563 0.000
0.000 0.000 14.540
Cd Sb S
4 4 8
Direct
0.000 0.000 0.000
0.000 0.500 0.250
0.500 0.000 0.750
0.500 0.500 0.500
0.000 0.000 0.500
0.000 0.500 0.750
0.500 0.000 0.250
0.500 0.500 0.000
0.242 0.250 0.125
0.250 0.742 0.375
0.250 0.758 0.875
0.258 0.250 0.625
0.742 0.750 0.625
0.750 0.242 0.875
0.750 0.258 0.375
0.758 0.750 0.125
```

***

[11]
The following is a PBE-GGA calculation of a relaxed Cd2SbS crystal, from Alexandria.

Output
Formation energy (no corrections) = -0.165 eV/atom
Total magnetization = 0.0 μB/f.u.

Structure (POSCAR):
```
Cd2SbS
1.0
6.382 0.000 0.000
0.000 6.382 0.000
0.000 0.000 11.960
Cd Sb S
8 4 4
Direct
0.215 0.250 0.125
0.250 0.715 0.375
0.250 0.785 0.875
0.285 0.250 0.625
0.715 0.750 0.625
0.750 0.215 0.875
0.750 0.285 0.375
0.785 0.750 0.125
0.000 0.000 0.500
0.000 0.500 0.750
0.500 0.000 0.250
0.500 0.500 0.000
0.000 0.000 0.000
0.000 0.500 0.250
0.500 0.000 0.750
0.500 0.500 0.500
```

***

[12]
The following is a PBE-GGA calculation of a relaxed CdSbS2 crystal, from Alexandria.

Output
Formation energy (no corrections) = -0.211 eV/atom
Total magnetization = 0.0 μB/f.u.
Energy above the most stable polymorph in this dataset = 0.000 eV/atom

Structure (POSCAR):
```
CdSbS2
1.0
3.768 0.000 0.000
-1.861 3.763 0.000
-1.861 -1.253 7.405
Cd Sb S
1 1 2
Direct
0.000 0.000 0.000
0.207 0.856 0.540
0.317 0.287 0.331
0.590 0.326 0.855
```

***

[13]
The following is a PBE-GGA calculation of a relaxed CdSb3S6 crystal, from Alexandria.

Output
Formation energy (no corrections) = -0.233 eV/atom
Total magnetization = 0.0 μB/f.u.

Structure (POSCAR):
```
CdSb3S6
1.0
10.136 0.000 0.000
0.000 3.845 0.000
-2.268 0.000 12.943
Cd Sb S
2 6 12
Direct
0.034 0.250 0.143
0.966 0.750 0.857
0.126 0.250 0.600
0.325 0.750 0.052
0.429 0.250 0.324
0.571 0.750 0.676
0.675 0.250 0.948
0.874 0.750 0.400
0.129 0.750 0.450
0.142 0.750 0.737
0.143 0.250 0.975
0.220 0.750 0.211
0.412 0.250 0.603
0.496 0.250 0.151
0.504 0.750 0.849
0.588 0.750 0.397
0.780 0.250 0.789
0.857 0.750 0.025
0.858 0.250 0.263
0.871 0.250 0.550
```

***

[14]
The following is a PBE-GGA calculation of a relaxed CdSbS3 crystal, from Alexandria.

Output
Formation energy (no corrections) = 0.314 eV/atom
Total magnetization = 0.0 μB/f.u.
Energy above the most stable polymorph in this dataset = 0.572 eV/atom

Structure (POSCAR):
```
CdSbS3
1.0
4.998 0.000 0.000
0.000 4.998 0.000
0.000 0.000 4.998
Cd Sb S
1 1 3
Direct
0.000 0.000 0.000
0.500 0.500 0.500
0.000 0.500 0.500
0.500 0.000 0.500
0.500 0.500 0.000
```

***

[15]
The following is a PBE-GGA calculation of a relaxed CdSb2S4 crystal, from Alexandria.

Output
Formation energy (no corrections) = -0.207 eV/atom
Total magnetization = 0.0 μB/f.u.
Energy above the most stable polymorph in this dataset = 0.141 eV/atom

Structure (POSCAR):
```
CdSb2S4
1.0
3.775 -7.799 0.000
3.775 7.799 0.000
0.000 0.000 8.236
Cd Sb S
2 4 8
Direct
0.000 0.000 0.250
0.000 0.000 0.750
0.242 0.747 0.000
0.253 0.758 0.500
0.747 0.242 0.500
0.758 0.253 0.000
0.000 0.500 0.214
0.000 0.500 0.786
0.006 0.814 0.500
0.186 0.994 0.000
0.500 0.000 0.286
0.500 0.000 0.714
0.814 0.006 0.000
0.994 0.186 0.500
```

***

[16]
The following is a PBE-GGA calculation of a relaxed Cd3SbS crystal, from Alexandria.

Output
Formation energy (no corrections) = 0.414 eV/atom
Total magnetization = 0.0 μB/f.u.
Energy above the most stable polymorph in this dataset = 0.200 eV/atom

Structure (POSCAR):
```
Cd3SbS
1.0
5.474 0.000 0.000
0.000 5.474 0.000
0.000 0.000 5.474
Cd Sb S
3 1 1
Direct
0.000 0.000 0.500
0.000 0.500 0.000
0.500 0.000 0.000
0.000 0.000 0.000
0.500 0.500 0.500
```

***

[17]
The following is a PBE-GGA calculation of a relaxed Cd2Sb6S11 crystal, from Alexandria.

Output
Formation energy (no corrections) = -0.228 eV/atom
Total magnetization = 0.0 μB/f.u.

Structure (POSCAR):
```
Cd2Sb6S11
1.0
10.354 0.000 0.000
0.000 3.873 0.000
-3.295 0.000 13.075
Cd Sb S
2 6 11
Direct
0.000 0.000 0.000
0.444 0.500 0.518
0.097 0.500 0.402
0.311 0.000 0.202
0.357 0.000 0.917
0.670 0.500 0.907
0.757 0.000 0.395
0.915 0.500 0.674
0.099 0.000 0.256
0.162 0.500 0.026
0.303 0.000 0.539
0.434 0.500 0.312
0.495 0.000 0.796
0.498 0.500 0.019
0.704 0.500 0.541
0.773 0.000 0.038
0.845 0.500 0.295
0.858 0.000 0.784
0.984 0.000 0.512
```

***

[18]
The following is a PBE-GGA calculation of a relaxed Cd3SbS crystal, from Alexandria.

Output
Formation energy (no corrections) = 0.214 eV/atom
Total magnetization = 0.0 μB/f.u.
Energy above the most stable polymorph in this dataset = 0.000 eV/atom

Structure (POSCAR):
```
Cd3SbS
1.0
5.131 0.000 0.000
0.000 5.131 0.000
0.000 0.000 5.131
Cd Sb S
3 1 1
Direct
0.000 0.000 0.500
0.000 0.500 0.000
0.500 0.000 0.000
0.500 0.500 0.500
0.000 0.000 0.000
```

***

[19]
The following is a PBE-GGA calculation of a relaxed CdSbS3 crystal, from Alexandria.

Output
Formation energy (no corrections) = 0.013 eV/atom
Total magnetization = 0.0 μB/f.u.
Energy above the most stable polymorph in this dataset = 0.271 eV/atom

Structure (POSCAR):
```
CdSbS3
1.0
3.840 0.000 0.000
-0.023 8.810 0.000
-0.022 -3.813 8.819
Cd Sb S
2 2 6
Direct
0.002 0.115 0.206
0.998 0.885 0.794
0.500 0.239 0.783
0.500 0.761 0.217
0.498 0.831 0.600
0.500 0.000 0.000
0.500 0.376 0.601
0.500 0.500 0.000
0.500 0.624 0.399
0.502 0.169 0.400
```

***

[20]
The following is a PBE-GGA calculation of a relaxed CdSbS2 crystal, from Alexandria.

Output
Formation energy (no corrections) = -0.068 eV/atom
Total magnetization = 0.0 μB/f.u.
Energy above the most stable polymorph in this dataset = 0.143 eV/atom

Structure (POSCAR):
```
CdSbS2
1.0
3.854 0.000 0.000
-1.927 3.337 0.000
0.000 0.000 23.895
Cd Sb S
3 3 6
Direct
0.000 0.000 0.000
0.333 0.667 0.667
0.667 0.333 0.333
0.000 0.000 0.500
0.333 0.667 0.167
0.667 0.333 0.833
0.000 0.000 0.394
0.000 0.000 0.606
0.333 0.667 0.061
0.333 0.667 0.272
0.667 0.333 0.728
0.667 0.333 0.939
```

***

[21]
The following is a PBE-GGA calculation of a relaxed CdSbSe2S crystal, from Alexandria.

Output
Formation energy (no corrections) = 0.361 eV/atom
Total magnetization = 0.0 μB/f.u.

Structure (POSCAR):
```
CdSbSe2S
1.0
4.979 0.000 0.000
0.000 4.979 0.000
0.000 0.000 5.028
Cd Sb Se S
1 1 2 1
Direct
0.000 0.000 0.000
0.500 0.500 0.000
0.000 0.500 0.500
0.500 0.000 0.500
0.000 0.000 0.500
```

***

[22]
The following is a PBE-GGA calculation of a relaxed CdSnSb2S crystal, from Alexandria.

Output
Formation energy (no corrections) = 0.392 eV/atom
Total magnetization = 0.0 μB/f.u.

Structure (POSCAR):
```
CdSnSb2S
1.0
5.232 0.000 0.000
0.000 5.232 0.000
0.000 0.000 5.410
Cd Sn Sb S
1 1 2 1
Direct
0.000 0.000 0.000
0.500 0.500 0.000
0.000 0.500 0.500
0.500 0.000 0.500
0.500 0.500 0.500
```

***

[23]
The following is a PBE-GGA calculation of a relaxed CdSn2SbS crystal, from Alexandria.

Output
Formation energy (no corrections) = 0.681 eV/atom
Total magnetization = 0.0 μB/f.u.

Structure (POSCAR):
```
CdSn2SbS
1.0
5.776 0.000 0.000
0.000 5.776 0.000
0.000 0.000 5.399
Cd Sn Sb S
1 2 1 1
Direct
0.000 0.000 0.000
0.000 0.500 0.500
0.500 0.000 0.500
0.000 0.000 0.500
0.500 0.500 0.000
```

***

[24]
The following is a PBE-GGA calculation of a relaxed CdSb2TeS crystal, from Alexandria.

Output
Formation energy (no corrections) = 0.486 eV/atom
Total magnetization = 0.0 μB/f.u.
Energy above the most stable polymorph in this dataset = 0.000 eV/atom

Structure (POSCAR):
```
CdSb2TeS
1.0
5.267 0.000 0.000
0.000 5.267 0.000
0.000 0.000 5.297
Cd Sb Te S
1 2 1 1
Direct
0.000 0.000 0.000
0.000 0.500 0.500
0.500 0.000 0.500
0.500 0.500 0.000
0.500 0.500 0.500
```